Entry 1:
Density functional theory data (PBE) for a relaxed Y2CuTe2 crystal.

## Properties
Energy relative to the lowest polymorph listed for this composition: 181 meV/atom
Final energy: -24.22 eV for the cell shown

a b c (Å): 5.264 5.264 7.530
angles (deg): 110.46 110.46 90.00
Positions (direct):
Y 0.637 0.637 0.274
Te 0.750 0.250 0.500
Cu 0.000 0.000 0.000
Y 0.363 0.363 0.726
Te 0.250 0.750 0.500

***

Entry 2:
Density functional theory data (PBE) for a relaxed YZnCuTe3 crystal.

## Properties
Final energy: -48.36 eV for the cell shown

a b c (Å): 7.273 7.273 11.178
angles (deg): 90.00 90.00 148.16
Positions (direct):
Te 0.103 0.897 0.250
Y 0.000 0.000 0.500
Cu 0.476 0.524 0.250
Te 0.347 0.653 0.421
Te 0.653 0.347 0.579
Zn 0.768 0.232 0.250
Te 0.653 0.347 0.921
Te 0.347 0.653 0.079
Te 0.897 0.103 0.750
Y 0.000 0.000 0.000
Zn 0.232 0.768 0.750
Cu 0.524 0.476 0.750

***

Entry 3:
Density functional theory data (PBE) for a relaxed Zr3CuTe5 crystal.

## Properties
Final energy: -48.31 eV for the cell shown

a b c (Å): 6.319 6.319 8.371
angles (deg): 90.00 90.00 120.00
Site moments in Bohr magnetons follow the coordinates.
Positions (direct):
Zr 0.000 0.500 0.500  0.05
Te 0.667 0.333 0.229  0.00
Te 0.667 0.333 0.771  0.00
Te 0.333 0.667 0.229  0.00
Te 0.000 0.000 0.500  0.00
Zr 0.500 0.000 0.500  0.04
Te 0.333 0.667 0.771  0.00
Zr 0.500 0.500 0.500  0.03
Cu 0.000 0.000 0.000  0.19